# 1
Here is a relaxed DyEr2In3Ir2 crystal from OQMD. Energies are from PBE.

a b c (Å): 3.6356 7.6037 7.6037
angles (deg): 120.03 90.00 90.00
Last column: nearest neighbours and their distance in Å.
Positions (direct):
Dy  0.0000  0.0000  0.0000  4 Ir 2.91, 2 In 3.18
Er  0.0000  0.1561  0.5781  4 Ir 2.91, 2 In 3.18
Er  0.0000  0.5781  0.1561  4 Ir 2.91, 2 In 3.18
In  0.5000  0.3437  0.3437  2 Ir 2.98, 2 In 3.09, 2 Dy 3.18, 4 Er 3.33
In  0.5000  0.5779  0.8127  2 Ir 2.98, 2 In 3.09, 4 Er 3.18-3.32, 2 Dy 3.33
In  0.5000  0.8127  0.5779  2 Ir 2.98, 2 In 3.09, 4 Er 3.18-3.32, 2 Dy 3.33
Ir  0.5000  0.2451  0.9114  4 Er 2.91, 2 Dy 2.91, 3 In 2.98
Ir  0.5000  0.9114  0.2451  4 Er 2.91, 2 Dy 2.91, 3 In 2.98

- Total energy: -5.611 eV/atom
- M_tot: 0.010 μB per formula unit
- Calculated density: 11.186 Mg/m³



# 2
Here is a relaxed Dy2ErIn3Ir2 crystal from OQMD. Energies are from PBE.

a b c (Å): 3.6638 7.5893 7.5893
angles (deg): 119.88 90.00 90.00
Last column: nearest neighbours and their distance in Å.
Positions (direct):
Dy  0.0000  0.2108  0.7892  4 Ir 2.92-2.93, 2 In 3.19
Dy  0.0000  0.7892  0.2108  4 Ir 2.92-2.93, 2 In 3.19
Er  0.0000  0.3670  0.3670  4 Ir 2.90, 2 In 3.18
In  0.5000  0.0250  0.0250  2 Ir 2.96, 2 In 3.10, 2 Er 3.18
In  0.5000  0.5545  0.7882  2 Ir 2.97-3.00, 2 In 3.07-3.10, 2 Dy 3.19
In  0.5000  0.7882  0.5545  2 Ir 2.97-3.00, 2 In 3.07-3.10, 2 Dy 3.19
Ir  0.5000  0.1243  0.4555  2 Er 2.90, 4 Dy 2.92-2.93, 3 In 2.96-3.00
Ir  0.5000  0.4555  0.1243  2 Er 2.90, 4 Dy 2.92-2.93, 3 In 2.96-3.00

- Total energy: -5.612 eV/atom
- M_tot: 0.010 μB per formula unit
- Calculated density: 11.082 Mg/m³



# 3
Here is a relaxed Dy2ErIn3Ir2Pd crystal from OQMD. Energies are from PBE.

a b c (Å): 3.8643 7.5919 7.5919
angles (deg): 119.76 90.00 90.00
Last column: nearest neighbours and their distance in Å.
Positions (direct):
Dy  0.0000  0.2056  0.7944  4 Ir 3.00-3.01, 1 Pd 3.12, 6 In 3.16-3.36
Dy  0.0000  0.7944  0.2056  4 Ir 3.00-3.01, 1 Pd 3.12, 6 In 3.16-3.36
Er  0.0000  0.3844  0.3844  4 Ir 2.99, 1 Pd 3.12, 6 In 3.16-3.34
In  0.5000  0.0554  0.0554  2 Pd 2.77, 2 Ir 2.84
In  0.5000  0.5348  0.7939  2 Pd 2.76, 2 Ir 2.85-2.87
In  0.5000  0.7939  0.5348  2 Pd 2.76, 2 Ir 2.85-2.87
Ir  0.5000  0.1300  0.4611  3 In 2.84-2.87, 2 Er 2.99, 4 Dy 3.00-3.01
Ir  0.5000  0.4611  0.1300  3 In 2.84-2.87, 2 Er 2.99, 4 Dy 3.00-3.01
Pd  0.0000  0.7940  0.7940  6 In 2.76-2.77

- Total energy: -5.741 eV/atom
- M_tot: 0.005 μB per formula unit
- Calculated density: 11.402 Mg/m³



# 4
Here is a relaxed DyEr2LuIn2 crystal from OQMD. Energies are from PBE.

a b c (Å): 5.3392 5.3392 6.6676
angles (deg): 90.00 90.00 120.00
Last column: nearest neighbours and their distance in Å.
Positions (direct):
Dy  0.0000  0.0000  0.0000  5 In 3.08-3.33
Er  0.3333  0.6667  0.2534  2 Er 3.29-3.38, 6 In 3.49-3.52, 3 Lu 3.49, 3 Dy 3.52
Er  0.3333  0.6667  0.7466  2 Er 3.29-3.38, 6 In 3.49-3.52, 3 Lu 3.49, 3 Dy 3.52
Lu  0.6667  0.3333  0.5000  5 In 3.08-3.33
In  0.0000  0.0000  0.5000  3 Lu 3.08, 2 Dy 3.33
In  0.6667  0.3333  0.0000  3 Dy 3.08, 2 Lu 3.33

- Total energy: -4.300 eV/atom
- M_tot: 0.537 μB per formula unit
- Calculated density: 9.095 Mg/m³



# 5
Here is a relaxed Dy2ErMg3In3 crystal from OQMD. Energies are from PBE.

a b c (Å): 4.6652 7.4845 7.4845
angles (deg): 119.81 90.00 90.00
Last column: nearest neighbours and their distance in Å.
Positions (direct):
Dy  0.0000  0.2177  0.7823  5 In 3.22-3.27, 2 Mg 3.36
Dy  0.0000  0.7823  0.2177  5 In 3.22-3.27, 2 Mg 3.36
Er  0.0000  0.3470  0.3470  5 In 3.21-3.25, 2 Mg 3.37
Mg  0.5000  0.0233  0.0233  4 In 2.90-2.96, 2 Mg 3.14
Mg  0.5000  0.5404  0.7820  4 In 2.90-2.95, 2 Mg 3.13-3.14
Mg  0.5000  0.7820  0.5404  4 In 2.90-2.95, 2 Mg 3.13-3.14
In  0.0000  0.7804  0.7804  6 Mg 2.95-2.96, 1 Er 3.25, 2 Dy 3.27
In  0.5000  0.1164  0.4483  3 Mg 2.90-2.91, 2 Er 3.21, 4 Dy 3.22
In  0.5000  0.4483  0.1164  3 Mg 2.90-2.91, 2 Er 3.21, 4 Dy 3.22

- Total energy: -3.344 eV/atom
- M_tot: 0.001 μB per formula unit
- Calculated density: 6.662 Mg/m³



# 6
Here is a relaxed DyEr2Mg4In2 crystal from OQMD. Energies are from PBE.

a b c (Å): 4.6413 7.5507 7.5507
angles (deg): 120.18 90.00 90.00
Last column: nearest neighbours and their distance in Å.
Positions (direct):
Dy  0.0000  0.0000  0.0000  4 In 3.23, 3 Mg 3.30-3.34
Er  0.0000  0.4362  0.8738  4 In 3.21, 3 Mg 3.30-3.35
Er  0.0000  0.8738  0.4362  4 In 3.21, 3 Mg 3.30-3.35
Mg  0.0000  0.4386  0.4386  6 Mg 2.95-2.96, 2 Er 3.30
Mg  0.5000  0.1941  0.4367  2 In 2.91-2.92, 4 Mg 2.96-3.18
Mg  0.5000  0.4367  0.1941  2 In 2.91-2.92, 4 Mg 2.96-3.18
Mg  0.5000  0.6801  0.6801  2 In 2.92, 4 Mg 2.95-3.17
In  0.5000  0.1035  0.7688  3 Mg 2.91-2.92, 4 Er 3.21, 2 Dy 3.23
In  0.5000  0.7688  0.1035  3 Mg 2.91-2.92, 4 Er 3.21, 2 Dy 3.23

- Total energy: -3.090 eV/atom
- M_tot: 0.005 μB per formula unit
- Calculated density: 5.981 Mg/m³